[1]
Ti3FePt | PBE-GGA | relaxed

Summary:
Formation energy ... 903 meV per atom
Offset from the most stable computed form ... 4.18 eV per formula unit
Total magnetization ... 0.79 μB per formula unit
Uncorrected energy ... -33.673 eV per cell

Cell and atoms, written as CIF:
```
data_Ti3FePt
_chemical_formula_sum 'Ti3 Fe1 Pt1'
_cell_length_a 4.731
_cell_length_b 4.731
_cell_length_c 4.731
_cell_angle_alpha 90.00
_cell_angle_beta 90.00
_cell_angle_gamma 90.00
_space_group_name_H-M_alt 'P m -3 m'
_space_group_IT_number 221
_space_group_name_Hall '-P 4 2 3'
loop_
_atom_site_label
_atom_site_type_symbol
_atom_site_fract_x
_atom_site_fract_y
_atom_site_fract_z
_atom_site_occupancy
Ti1 Ti 0.000 0.000 0.500 1
Fe1 Fe 0.500 0.500 0.500 1
Pt1 Pt 0.000 0.000 0.000 1
```

=====

[2]
ScPOs | PBE-GGA | relaxed

Summary:
Formation energy ... -547 meV per atom
Total magnetization ... 0.00 μB per formula unit
Uncorrected energy ... -49.224 eV per cell

Cell and atoms, written as CIF:
```
data_ScPOs
_chemical_formula_sum 'Sc2 P2 Os2'
_cell_length_a 3.000
_cell_length_b 3.000
_cell_length_c 10.446
_cell_angle_alpha 90.00
_cell_angle_beta 90.00
_cell_angle_gamma 90.00
_space_group_name_H-M_alt 'I 4 m m'
_space_group_IT_number 107
_space_group_name_Hall 'I 4 -2'
loop_
_atom_site_label
_atom_site_type_symbol
_atom_site_fract_x
_atom_site_fract_y
_atom_site_fract_z
_atom_site_occupancy
Sc1 Sc 0.000 0.000 0.000 1
P1 P 0.000 0.000 0.307 1
Os1 Os 0.000 0.000 0.694 1
```

=====

[3]
CsSnTeN2 | PBE-GGA | relaxed

Summary:
Total magnetization ... 2.01 μB per formula unit
Uncorrected energy ... -14.674 eV per cell

Cell and atoms, written as CIF:
```
data_CsSnTeN2
_chemical_formula_sum 'Cs1 Sn1 Te1 N2'
_cell_length_a 4.551
_cell_length_b 4.551
_cell_length_c 7.495
_cell_angle_alpha 90.00
_cell_angle_beta 90.00
_cell_angle_gamma 90.00
_space_group_name_H-M_alt 'P 4/m m m'
_space_group_IT_number 123
_space_group_name_Hall '-P 4 2'
loop_
_atom_site_label
_atom_site_type_symbol
_atom_site_fract_x
_atom_site_fract_y
_atom_site_fract_z
_atom_site_occupancy
Cs1 Cs 0.000 0.000 0.000 1
Sn1 Sn 0.500 0.500 0.500 1
Te1 Te 0.000 0.000 0.500 1
N1 N 0.000 0.500 0.000 1
```

=====

[4]
CaBeNF2 | PBE-GGA | relaxed

Summary:
Offset from the most stable computed form ... 0.00 eV per formula unit
Total magnetization ... 1.00 μB per formula unit
Uncorrected energy ... -27.347 eV per cell

Cell and atoms, written as CIF:
```
data_CaBeNF2
_chemical_formula_sum 'Ca1 Be1 N1 F2'
_cell_length_a 3.724
_cell_length_b 3.724
_cell_length_c 3.637
_cell_angle_alpha 90.00
_cell_angle_beta 90.00
_cell_angle_gamma 90.00
_space_group_name_H-M_alt 'P 4/m m m'
_space_group_IT_number 123
_space_group_name_Hall '-P 4 2'
loop_
_atom_site_label
_atom_site_type_symbol
_atom_site_fract_x
_atom_site_fract_y
_atom_site_fract_z
_atom_site_occupancy
Ca1 Ca 0.000 0.000 0.000 1
Be1 Be 0.500 0.500 0.500 1
N1 N 0.500 0.500 0.000 1
F1 F 0.000 0.500 0.500 1
```

=====

[5]
Y4CuI5 | PBE-GGA | relaxed

Summary:
Total magnetization ... 0.00 μB per formula unit
Uncorrected energy ... -95.346 eV per cell

Cell and atoms, written as CIF:
```
data_Y4CuI5
_chemical_formula_sum 'Y8 Cu2 I10'
_cell_length_a 19.176
_cell_length_b 4.112
_cell_length_c 8.918
_cell_angle_alpha 90.00
_cell_angle_beta 102.67
_cell_angle_gamma 90.00
_space_group_name_H-M_alt 'C 1 2/m 1'
_space_group_IT_number 12
loop_
_space_group_symop_operation_xyz
'x,y,z'
'-x,-y,-z'
'-x,y,-z'
'x,-y,z'
'x+1/2,y+1/2,z'
'-x+1/2,-y+1/2,-z'
'-x+1/2,y+1/2,-z'
'x+1/2,-y+1/2,z'
loop_
_atom_site_label
_atom_site_type_symbol
_atom_site_fract_x
_atom_site_fract_y
_atom_site_fract_z
_atom_site_occupancy
Y1 Y 0.000 0.000 0.209 1
Y2 Y 0.144 0.500 0.074 1
Cu1 Cu 0.000 0.500 0.000 1
I1 I 0.000 0.500 0.500 1
I2 I 0.168 0.000 0.343 1
I3 I 0.176 0.000 0.828 1
```

=====

[6]
Ac6AgHg2 | PBE-GGA | relaxed

Summary:
Formation energy ... -183 meV per atom
Total magnetization ... 0.00 μB per formula unit
Uncorrected energy ... -59.496 eV per cell

Cell and atoms, written as CIF:
```
data_Ac6AgHg2
_chemical_formula_sum 'Ac12 Ag2 Hg4'
_cell_length_a 7.115
_cell_length_b 8.795
_cell_length_c 13.030
_cell_angle_alpha 90.00
_cell_angle_beta 122.04
_cell_angle_gamma 90.00
_space_group_name_H-M_alt 'P 1 21/c 1'
_space_group_IT_number 14
loop_
_space_group_symop_operation_xyz
'x,y,z'
'-x,-y,-z'
'-x,y+1/2,-z+1/2'
'x,-y+1/2,z+1/2'
loop_
_atom_site_label
_atom_site_type_symbol
_atom_site_fract_x
_atom_site_fract_y
_atom_site_fract_z
_atom_site_occupancy
Ac1 Ac 0.080 0.056 0.236 1
Ac2 Ac 0.204 0.709 0.068 1
Ac3 Ac 0.405 0.157 0.057 1
Ag1 Ag 0.500 0.000 0.500 1
Hg1 Hg 0.308 0.112 0.730 1
```

=====

[7]
SnSbTe2N | PBE-GGA | relaxed

Summary:
Offset from the most stable computed form ... 0.45 eV per formula unit
Total magnetization ... 0.00 μB per formula unit
Uncorrected energy ... -19.502 eV per cell

Cell and atoms, written as CIF:
```
data_SnSbTe2N
_chemical_formula_sum 'Sn1 Sb1 Te2 N1'
_cell_length_a 5.915
_cell_length_b 5.915
_cell_length_c 3.985
_cell_angle_alpha 90.00
_cell_angle_beta 90.00
_cell_angle_gamma 90.00
_space_group_name_H-M_alt 'P 4/m m m'
_space_group_IT_number 123
_space_group_name_Hall '-P 4 2'
loop_
_atom_site_label
_atom_site_type_symbol
_atom_site_fract_x
_atom_site_fract_y
_atom_site_fract_z
_atom_site_occupancy
Sn1 Sn 0.000 0.000 0.000 1
Sb1 Sb 0.500 0.500 0.500 1
Te1 Te 0.000 0.500 0.500 1
N1 N 0.500 0.500 0.000 1
```

=====

[8]
SmY6Ho2Sc3 | PBE-GGA | relaxed

Summary:
Formation energy ... 52 meV per atom
Total magnetization ... 0.00 μB per formula unit
Uncorrected energy ... -142.061 eV per cell

Cell and atoms, written as CIF:
```
data_SmY6Ho2Sc3
_chemical_formula_sum 'Sm2 Y12 Ho4 Sc6'
_cell_length_a 6.072
_cell_length_b 10.511
_cell_length_c 11.520
_cell_angle_alpha 90.00
_cell_angle_beta 100.10
_cell_angle_gamma 90.00
_space_group_name_H-M_alt 'C 1 2/m 1'
_space_group_IT_number 12
loop_
_space_group_symop_operation_xyz
'x,y,z'
'-x,-y,-z'
'-x,y,-z'
'x,-y,z'
'x+1/2,y+1/2,z'
'-x+1/2,-y+1/2,-z'
'-x+1/2,y+1/2,-z'
'x+1/2,-y+1/2,z'
loop_
_atom_site_label
_atom_site_type_symbol
_atom_site_fract_x
_atom_site_fract_y
_atom_site_fract_z
_atom_site_occupancy
Sm1 Sm 0.000 0.000 0.000 1
Y1 Y 0.247 0.000 0.741 1
Y2 Y 0.247 0.333 0.741 1
Ho1 Ho 0.000 0.333 0.000 1
Sc1 Sc 0.000 0.167 0.500 1
Sc2 Sc 0.000 0.500 0.500 1
```

=====

[9]
La3MoCl | PBE-GGA | relaxed

Summary:
Offset from the most stable computed form ... 0.00 eV per formula unit
Total magnetization ... 0.00 μB per formula unit
Uncorrected energy ... -27.592 eV per cell

Cell and atoms, written as CIF:
```
data_La3MoCl
_chemical_formula_sum 'La3 Mo1 Cl1'
_cell_length_a 5.576
_cell_length_b 5.576
_cell_length_c 5.576
_cell_angle_alpha 90.00
_cell_angle_beta 90.00
_cell_angle_gamma 90.00
_space_group_name_H-M_alt 'P m -3 m'
_space_group_IT_number 221
_space_group_name_Hall '-P 4 2 3'
loop_
_atom_site_label
_atom_site_type_symbol
_atom_site_fract_x
_atom_site_fract_y
_atom_site_fract_z
_atom_site_occupancy
La1 La 0.000 0.000 0.500 1
Mo1 Mo 0.000 0.000 0.000 1
Cl1 Cl 0.500 0.500 0.500 1
```

=====

[10]
CsK6Hg2 | PBE-GGA | relaxed

Summary:
Formation energy ... -81 meV per atom
Offset from the most stable computed form ... 0.16 eV per formula unit
Total magnetization ... 0.00 μB per formula unit
Uncorrected energy ... -8.772 eV per cell

Cell and atoms, written as CIF:
```
data_CsK6Hg2
_chemical_formula_sum 'Cs1 K6 Hg2'
_cell_length_a 6.084
_cell_length_b 6.084
_cell_length_c 14.405
_cell_angle_alpha 90.00
_cell_angle_beta 90.00
_cell_angle_gamma 90.00
_space_group_name_H-M_alt 'P 4/m m m'
_space_group_IT_number 123
_space_group_name_Hall '-P 4 2'
loop_
_atom_site_label
_atom_site_type_symbol
_atom_site_fract_x
_atom_site_fract_y
_atom_site_fract_z
_atom_site_occupancy
Cs1 Cs 0.000 0.000 0.000 1
K1 K 0.000 0.000 0.500 1
K2 K 0.000 0.500 0.251 1
K3 K 0.500 0.500 0.500 1
Hg1 Hg 0.500 0.500 0.104 1
```

=====

[11]
AcPmPr | PBE-GGA | relaxed

Summary:
Formation energy ... 35 meV per atom
Offset from the most stable computed form ... 0.01 eV per formula unit
Total magnetization ... 0.00 μB per formula unit
Uncorrected energy ... -13.534 eV per cell

Cell and atoms, written as CIF:
```
data_AcPmPr
_chemical_formula_sum 'Ac1 Pm1 Pr1'
_cell_length_a 3.8042
_cell_length_b 3.8042
_cell_length_c 9.2025
_cell_angle_alpha 90.00
_cell_angle_beta 90.00
_cell_angle_gamma 120.00
_space_group_name_H-M_alt 'P 3 m 1'
_space_group_IT_number 156
loop_
_space_group_symop_operation_xyz
'x,y,z'
'-y,x-y,z'
'-x+y,-x,z'
'-y,-x,z'
'-x+y,y,z'
'x,x-y,z'
loop_
_atom_site_label
_atom_site_type_symbol
_atom_site_fract_x
_atom_site_fract_y
_atom_site_fract_z
_atom_site_occupancy
Ac1 Ac 0.0000 0.0000 0.0000 1
Pm1 Pm 0.6667 0.3333 0.3368 1
Pr1 Pr 0.3333 0.6667 0.6570 1
```

=====

[12]
YTcPt2 | PBE-GGA | relaxed

Summary:
Formation energy ... -446 meV per atom
Offset from the most stable computed form ... 0.00 eV per formula unit
Total magnetization ... 1.34 μB per formula unit
Uncorrected energy ... -30.696 eV per cell

Cell and atoms, written as CIF:
```
data_YTcPt2
_chemical_formula_sum 'Y1 Tc1 Pt2'
_cell_length_a 4.139
_cell_length_b 4.139
_cell_length_c 4.095
_cell_angle_alpha 90.00
_cell_angle_beta 90.00
_cell_angle_gamma 90.00
_space_group_name_H-M_alt 'P 4/m m m'
_space_group_IT_number 123
_space_group_name_Hall '-P 4 2'
loop_
_atom_site_label
_atom_site_type_symbol
_atom_site_fract_x
_atom_site_fract_y
_atom_site_fract_z
_atom_site_occupancy
Y1 Y 0.000 0.000 0.000 1
Tc1 Tc 0.500 0.500 0.000 1
Pt1 Pt 0.000 0.500 0.500 1
```